Density functional theory data (PBE-GGA) for Zr2Al4Si after structural relaxation.

a = 4.148 Å, b = 9.445 Å, c = 6.641 Å
α = 90.00°, β = 90.00°, γ = 90.00°
Fractional coordinates of all 14 atoms:
1 Zr 0.250 0.250 0.131
2 Zr 0.250 0.250 0.643
3 Zr 0.750 0.750 0.357
4 Zr 0.750 0.750 0.869
5 Al 0.250 0.516 0.368
6 Al 0.250 0.523 0.884
7 Al 0.250 0.977 0.884
8 Al 0.250 0.984 0.368
9 Al 0.750 0.016 0.632
10 Al 0.750 0.023 0.116
11 Al 0.750 0.477 0.116
12 Al 0.750 0.484 0.632
13 Si 0.250 0.750 0.613
14 Si 0.750 0.250 0.387

Summary:
excess energy over the best structure of this formula in the dataset	0.00	kJ/mol of atoms
volume	130	Å³/f.u.
formation energy without anion corrections	-0.292	eV/atom